# 1
{
  "formula": "ErAl8V4",
  "functional": "PBE",
  "state": "relaxed",
  "dft_energy_ev_per_atom": -5.718,
  "lattice": [[5.244, 0.000, 0.000], [2.622, 6.406, 0.000], [2.622, 0.000, 6.406]],
  "species": ["V", "V", "V", "V", "Al", "Al", "Al", "Al", "Al", "Al", "Al", "Al", "Er"],
  "fractional_positions": [[0.000, 0.500, 0.000], [0.000, 0.000, 0.500], [0.500, 0.000, 0.500], [0.500, 0.500, 0.000], [0.728, 0.772, 0.772], [0.329, 0.671, 0.671], [0.500, 0.228, 0.772], [0.500, 0.772, 0.228], [0.671, 0.329, 0.329], [0.000, 0.671, 0.329], [0.272, 0.228, 0.228], [0.000, 0.329, 0.671], [0.000, 0.000, 0.000]]
}


# 2
{
  "formula": "Li2CuPO4",
  "functional": "PBE",
  "state": "relaxed",
  "relative_energy_ev_per_atom": 0.005,
  "lattice": [[5.202, 0.000, 0.000], [0.000, 6.226, 0.000], [0.000, 0.000, 10.620]],
  "species": ["O", "O", "O", "O", "O", "O", "O", "O", "O", "O", "O", "O", "O", "O", "O", "O", "P", "P", "P", "P", "Li", "Li", "Li", "Li", "Li", "Li", "Li", "Li", "Cu", "Cu", "Cu", "Cu"],
  "fractional_positions": [[0.798, 0.950, 0.659], [0.386, 0.750, 0.599], [0.614, 0.250, 0.401], [0.298, 0.450, 0.841], [0.202, 0.450, 0.341], [0.702, 0.950, 0.159], [0.798, 0.550, 0.659], [0.733, 0.750, 0.949], [0.202, 0.050, 0.341], [0.767, 0.750, 0.449], [0.233, 0.250, 0.551], [0.267, 0.250, 0.051], [0.298, 0.050, 0.841], [0.114, 0.750, 0.099], [0.702, 0.550, 0.159], [0.886, 0.250, 0.901], [0.184, 0.250, 0.912], [0.684, 0.750, 0.588], [0.816, 0.750, 0.088], [0.316, 0.250, 0.412], [0.810, 0.002, 0.340], [0.310, 0.998, 0.160], [0.310, 0.502, 0.160], [0.810, 0.498, 0.340], [0.690, 0.498, 0.840], [0.190, 0.502, 0.660], [0.690, 0.002, 0.840], [0.190, 0.998, 0.660], [0.250, 0.750, 0.391], [0.750, 0.250, 0.609], [0.250, 0.750, 0.891], [0.750, 0.250, 0.109]]
}


# 3
{
  "formula": "EuFe2Si2",
  "functional": "PBE",
  "state": "relaxed",
  "dft_energy_ev_per_atom": -8.096,
  "lattice": [[-0.518, 3.473, 4.537], [-4.848, 0.204, 3.062], [3.653, -3.879, -2.127]],
  "species": ["Si", "Si", "Eu", "Fe", "Fe"],
  "fractional_positions": [[0.638, 0.638, 0.000], [0.362, 0.362, 0.000], [0.000, 0.000, 0.000], [0.750, 0.250, 0.500], [0.250, 0.750, 0.500]]
}


# 4
{
  "formula": "NpZnTc2",
  "functional": "PBE",
  "state": "relaxed",
  "relative_energy_ev_per_atom": 0.124,
  "lattice": [[4.526, 0.000, 0.000], [2.263, 3.919, 0.000], [2.263, 1.306, 3.695]],
  "species": ["Zn", "Tc", "Tc", "Np"],
  "fractional_positions": [[0.000, 0.000, 0.000], [0.250, 0.250, 0.250], [0.750, 0.750, 0.750], [0.500, 0.500, 0.500]]
}


# 5
{
  "formula": "CrCd4As",
  "functional": "PBE",
  "state": "relaxed",
  "dft_energy_ev_per_atom": -2.571,
  "lattice": [[3.192, -3.971, -2.588], [-2.429, -4.786, -1.962], [-0.504, -0.849, -5.629]],
  "species": ["As", "Cd", "Cd", "Cd", "Cd", "Cr"],
  "fractional_positions": [[0.000, 0.000, 0.000], [0.375, 0.375, 0.875], [0.875, 0.375, 0.375], [0.375, 0.875, 0.375], [0.375, 0.375, 0.375], [0.750, 0.750, 0.750]]
}


# 6
{
  "formula": "NaSbPt4",
  "functional": "PBE",
  "state": "relaxed",
  "relative_energy_ev_per_atom": 0.061,
  "lattice": [[4.190, 0.000, 0.000], [0.000, 6.946, 0.000], [0.000, 0.000, 7.601]],
  "species": ["Sb", "Sb", "Na", "Na", "Pt", "Pt", "Pt", "Pt", "Pt", "Pt", "Pt", "Pt"],
  "fractional_positions": [[0.000, 0.740, 0.250], [0.000, 0.260, 0.750], [0.000, 0.332, 0.250], [0.000, 0.668, 0.750], [0.500, 0.694, 0.463], [0.000, 0.000, 0.500], [0.500, 0.694, 0.037], [0.500, 0.951, 0.750], [0.500, 0.306, 0.963], [0.500, 0.306, 0.537], [0.500, 0.049, 0.250], [0.000, 0.000, 0.000]]
}


# 7
{
  "formula": "Hf2TaFeTe",
  "functional": "PBE",
  "state": "relaxed",
  "dft_energy_ev_per_atom": -7.411,
  "lattice": [[5.171, 0.000, 0.000], [0.000, 4.408, 0.000], [0.000, 0.000, 5.171]],
  "species": ["Te", "Fe", "Hf", "Hf", "Ta"],
  "fractional_positions": [[0.000, 0.000, 0.000], [0.000, 0.500, 0.000], [0.000, 0.000, 0.500], [0.500, 0.000, 0.000], [0.500, 0.500, 0.500]]
}


# 8
{
  "formula": "Hf5CoRu4",
  "functional": "PBE",
  "state": "relaxed",
  "dft_energy_ev_per_atom": -10.117,
  "lattice": [[-0.144, 3.217, -0.265], [-3.025, -0.042, 1.136], [5.609, 1.485, 14.995]],
  "species": ["Ru", "Ru", "Ru", "Ru", "Co", "Hf", "Hf", "Hf", "Hf", "Hf"],
  "fractional_positions": [[0.000, 0.000, 0.196], [0.000, 0.000, 0.804], [0.000, 0.000, 0.399], [0.000, 0.000, 0.601], [0.000, 0.000, 0.000], [0.500, 0.500, 0.500], [0.500, 0.500, 0.702], [0.500, 0.500, 0.095], [0.500, 0.500, 0.905], [0.500, 0.500, 0.298]]
}


# 9
{
  "formula": "ZrPb2Au",
  "functional": "PBE",
  "state": "relaxed",
  "relative_energy_ev_per_atom": 0.173,
  "lattice": [[3.354, 0.000, 0.000], [0.000, 5.584, 0.000], [0.000, 0.000, 5.242]],
  "species": ["Au", "Pb", "Pb", "Zr"],
  "fractional_positions": [[0.000, 0.500, 0.500], [0.000, 0.000, 0.000], [0.500, 0.500, 0.000], [0.500, 0.000, 0.500]]
}


# 10
{
  "formula": "KNaSnF6",
  "functional": "PBE",
  "state": "relaxed",
  "relative_energy_ev_per_atom": 0.006,
  "lattice": [[-3.281, -3.565, 2.441], [4.627, -3.396, 1.260], [-1.708, 4.161, 3.782]],
  "species": ["F", "F", "F", "F", "F", "F", "Sn", "K", "Na"],
  "fractional_positions": [[0.294, 0.725, 0.016], [0.706, 0.292, 0.016], [0.294, 0.984, 0.708], [0.706, 0.725, 0.708], [0.706, 0.984, 0.275], [0.294, 0.292, 0.275], [0.500, 0.000, 0.000], [0.000, 0.333, 0.667], [0.500, 0.667, 0.333]]
}


# 11
{
  "formula": "ScNiAs2",
  "functional": "PBE",
  "state": "relaxed",
  "dft_energy_ev_per_atom": -5.809,
  "lattice": [[-2.653, 2.045, 0.488], [-0.719, -2.217, -2.455], [-2.318, -4.040, 4.328]],
  "species": ["As", "As", "Ni", "Sc"],
  "fractional_positions": [[0.000, 0.000, 0.033], [0.000, 0.000, 0.467], [0.500, 0.500, 0.250], [0.500, 0.500, 0.750]]
}


# 12
{
  "formula": "BeHg2Cl",
  "functional": "PBE",
  "state": "relaxed",
  "relative_energy_ev_per_atom": 0.044,
  "lattice": [[6.282, 0.009, 0.380], [5.563, 2.920, 0.380], [4.796, 1.186, 6.543]],
  "species": ["Cl", "Be", "Hg", "Hg"],
  "fractional_positions": [[0.143, 0.143, 0.378], [0.524, 0.524, 0.383], [0.789, 0.789, 0.651], [0.045, 0.045, 0.088]]
}